Record 1
PaInBi2 | Alexandria via LeMat-Bulk | PBE-GGA | optimized geometry; energy above the most stable polymorph in this dataset = 0.0 meV per atom; volume = 27.57 Å³/atom; DOS at the Fermi energy = 0.957 states/eV per atom; crystal system = tetragonal; formation energy from the elements = -0.147 eV/atom; SG = P4/mmm, No. 123
1.0
4.278 0.000 0.000
0.000 5.077 0.000
0.000 0.000 5.077
Pa In Bi
1 1 2
Direct
0.500 0.500 0.500
0.500 0.000 0.000
0.000 0.000 0.500
0.000 0.500 0.000

***

Record 2
CsB2Pd2 | Alexandria via LeMat-Bulk | PBE-GGA | optimized geometry; energy above the most stable polymorph in this dataset = 0.0 meV per atom; volume = 21.80 Å³/atom; DOS at the Fermi energy = 0.380 states/eV per atom; crystal system = tetragonal; formation energy from the elements = 0.159 eV/atom; SG = I4/mmm, No. 139
1.0
4.051 0.000 0.000
0.000 4.051 0.000
2.025 2.025 6.642
B Cs Pd
2 1 2
Direct
0.699 0.699 0.603
0.301 0.301 0.397
0.000 0.000 0.000
0.750 0.250 0.500
0.250 0.750 0.500

***

Record 3
Na6Hg2O | Alexandria via LeMat-Bulk | PBE-GGA | optimized geometry; energy above the most stable polymorph in this dataset = 41.7 meV per atom; volume = 25.75 Å³/atom; DOS at the Fermi energy = 0.269 states/eV per atom; crystal system = orthorhombic; SG = Amm2, No. 38
1.0
3.335 0.000 0.000
0.000 8.945 0.000
0.000 -4.473 7.771
Hg Na O
2 6 1
Direct
0.000 0.336 0.665
0.000 0.671 0.335
0.500 0.003 0.572
0.000 0.814 0.816
0.000 0.182 0.000
0.500 0.565 0.000
0.500 0.432 0.428
0.000 0.998 0.184
0.500 0.998 0.000

***

Record 4
CaTa2Tc | Alexandria via LeMat-Bulk | PBE-GGA | optimized geometry; energy above the most stable polymorph in this dataset = 50.1 meV per atom; volume = 19.43 Å³/atom; DOS at the Fermi energy = 0.986 states/eV per atom; crystal system = orthorhombic; formation energy from the elements = 0.316 eV/atom; SG = Cmm2, No. 35
1.0
2.943 0.005 0.000
-1.115 2.723 0.000
0.000 0.000 9.691
Ta Ca Tc
2 1 1
Direct
0.500 0.500 0.267
0.000 0.000 0.029
0.500 0.500 0.729
0.000 0.000 0.474

***

Record 5
K2LiPuI6 | Alexandria via LeMat-Bulk | PBE-GGA | optimized geometry; total DFT energy (no corrections) = -4.026 eV/atom; volume = 41.13 Å³/atom; DOS at the Fermi energy = 1.171 states/eV per atom; crystal system = monoclinic; SG = P2_1/c, No. 14
1.0
-0.173 7.586 -2.873
0.089 -3.059 -8.084
-11.730 -0.209 -0.050
I Li K Pu
12 2 4 2
Direct
0.102 0.477 0.745
0.691 0.301 0.946
0.809 0.805 0.951
0.309 0.695 0.451
0.398 0.977 0.755
0.809 0.801 0.554
0.191 0.195 0.049
0.309 0.699 0.054
0.898 0.523 0.255
0.602 0.023 0.245
0.191 0.199 0.446
0.691 0.305 0.549
0.500 0.000 0.000
0.000 0.500 0.500
0.030 0.916 0.253
0.970 0.084 0.747
0.470 0.416 0.247
0.530 0.584 0.753
0.000 0.500 0.000
0.500 0.000 0.500

***

Record 6
Tl4Rh | Alexandria via LeMat-Bulk | PBE-GGA | optimized geometry; energy above the most stable polymorph in this dataset = 511.5 meV per atom; volume = 28.57 Å³/atom; DOS at the Fermi energy = 0.973 states/eV per atom; crystal system = tetragonal; formation energy from the elements = 0.556 eV/atom; SG = I4/mmm, No. 139
1.0
-3.519 -5.532 6.316
-7.551 -1.728 4.784
4.635 1.844 -7.616
Tl Rh
4 1
Direct
0.584 0.584 0.000
0.416 0.416 0.000
0.250 0.750 0.500
0.750 0.250 0.500
0.000 0.000 0.000

***

Record 7
CaY2Be | Alexandria via LeMat-Bulk | PBE-GGA | optimized geometry; volume = 26.86 Å³/atom; DOS at the Fermi energy = 0.996 states/eV per atom; crystal system = tetragonal; formation energy from the elements = 0.349 eV/atom; SG = P4/mmm, No. 123
1.0
-1.990 4.135 -1.997
-2.021 1.166 4.428
3.535 2.200 1.034
Ca Be Y
1 1 2
Direct
0.000 0.500 0.500
0.500 0.000 0.500
0.000 0.000 0.000
0.500 0.500 0.000

***

Record 8
UPb2S6 | Alexandria via LeMat-Bulk | PBE-GGA | optimized geometry; total DFT energy (no corrections) = -5.339 eV/atom; volume = 28.33 Å³/atom; DOS at the Fermi energy = 0.786 states/eV per atom; crystal system = tetragonal; SG = P4_2/mnm, No. 136
1.0
6.382 0.000 0.000
0.000 6.382 0.000
0.000 0.000 12.521
S Pb U
12 4 2
Direct
0.687 0.687 0.848
0.713 0.713 0.500
0.187 0.813 0.652
0.813 0.187 0.348
0.787 0.213 0.000
0.313 0.313 0.152
0.687 0.687 0.152
0.813 0.187 0.652
0.213 0.787 0.000
0.287 0.287 0.500
0.187 0.813 0.348
0.313 0.313 0.848
0.500 0.500 0.335
0.000 0.000 0.165
0.000 0.000 0.835
0.500 0.500 0.665
0.500 0.500 0.000
0.000 0.000 0.500

***

Question: Which of these has the lowest DOS at the Fermi energy?
Answer: Na6Hg2O

***

Copy entry 6 word for word.
Tl4Rh | Alexandria via LeMat-Bulk | PBE-GGA | optimized geometry; energy above the most stable polymorph in this dataset = 511.5 meV per atom; volume = 28.57 Å³/atom; DOS at the Fermi energy = 0.973 states/eV per atom; crystal system = tetragonal; formation energy from the elements = 0.556 eV/atom; SG = I4/mmm, No. 139
1.0
-3.519 -5.532 6.316
-7.551 -1.728 4.784
4.635 1.844 -7.616
Tl Rh
4 1
Direct
0.584 0.584 0.000
0.416 0.416 0.000
0.250 0.750 0.500
0.750 0.250 0.500
0.000 0.000 0.000

***

Question: Look up the DOS at the Fermi energy of the sixth one.
Answer: 0.973 states/eV per atom

***

Question: What is the DOS at the Fermi energy in the first record?
Answer: 0.957 states/eV per atom